[1]
The following is a GGA-PBE calculation of a relaxed structure of Te2Mo, from the Alexandria database. Values from VASP.

Structure (Quantum ESPRESSO input):
```
&SYSTEM
  ibrav = 0, nat = 3, ntyp = 2
/
ATOMIC_SPECIES
Te 127.60 Te.upf
Mo 95.94 Mo.upf
CELL_PARAMETERS angstrom
-1.977 -1.043 -2.762
3.407 -0.984 0.218
-2.255 -6.871 4.207
ATOMIC_POSITIONS angstrom
Te -0.154 -6.387 2.521
Te 1.124 -2.491 0.136
Mo 0.000 0.000 0.000
```

ΔE_f (raw)	-0.2776	eV per atom
spin magnetization	0.000	μB/cell
symmetry	P-6m2, No. 187

***

[2]
The following is a GGA-PBE calculation of a relaxed structure of TeMo, from the Alexandria database. Values from VASP.

Structure (Quantum ESPRESSO input):
```
&SYSTEM
  ibrav = 0, nat = 4, ntyp = 2
/
ATOMIC_SPECIES
Mo 95.94 Mo.upf
Te 127.60 Te.upf
CELL_PARAMETERS angstrom
5.072 0.000 0.003
3.875 4.761 0.003
1.127 0.283 3.178
ATOMIC_POSITIONS angstrom
Mo 7.719 3.095 2.391
Te 5.149 2.421 1.561
Mo 5.037 4.938 3.178
Te 2.605 0.568 0.827
```

ΔE_f (raw)	0.3521	eV per atom
distance to the lowest polymorph of the same formula	366.5	meV/atom
spin magnetization	0.001	μB/cell
symmetry	C2/m, No. 12

***

[3]
The following is a GGA-PBE calculation of a relaxed structure of Te2Mo, from the Alexandria database. Values from VASP.

Structure (Quantum ESPRESSO input):
```
&SYSTEM
  ibrav = 0, nat = 3, ntyp = 2
/
ATOMIC_SPECIES
Mo 95.94 Mo.upf
Te 127.60 Te.upf
CELL_PARAMETERS angstrom
-6.768 -1.018 2.724
-7.096 1.677 -1.049
6.682 -2.220 -2.166
ATOMIC_POSITIONS angstrom
Mo -6.932 0.329 0.837
Te -1.670 0.079 0.202
Te -12.194 0.579 1.473
```

ΔE_f (raw)	-0.0612	eV per atom
spin magnetization	0.000	μB/cell
symmetry	I4/mmm, No. 139

***

[4]
The following is a GGA-PBE calculation of a relaxed structure of Te2Mo, from the Alexandria database. Values from VASP.

Structure (Quantum ESPRESSO input):
```
&SYSTEM
  ibrav = 0, nat = 6, ntyp = 2
/
ATOMIC_SPECIES
Te 127.60 Te.upf
Mo 95.94 Mo.upf
CELL_PARAMETERS angstrom
-1.852 2.922 -0.530
-3.648 -1.483 4.575
4.072 3.368 4.338
ATOMIC_POSITIONS angstrom
Te 1.919 1.886 3.693
Te 0.018 3.307 6.620
Te -1.495 -0.001 5.220
Te -1.445 1.500 1.764
Mo -0.714 2.403 4.192
Mo 0.000 0.000 0.000
```

ΔE_f (raw)	-0.1061	eV per atom
spin magnetization	0.000	μB/cell
symmetry	Pnnm, No. 58

***

[5]
The following is a GGA-PBE calculation of a relaxed structure of Te5Mo4, from the Alexandria database. Values from VASP.

Structure (Quantum ESPRESSO input):
```
&SYSTEM
  ibrav = 0, nat = 18, ntyp = 2
/
ATOMIC_SPECIES
Te 127.60 Te.upf
Mo 95.94 Mo.upf
CELL_PARAMETERS angstrom
8.272 0.000 0.000
-4.136 7.164 0.000
0.000 0.000 6.226
ATOMIC_POSITIONS angstrom
Te -1.164 2.016 4.670
Mo -1.527 2.645 1.557
Mo 0.000 0.000 0.000
Te 5.944 0.000 1.557
Te 1.164 2.016 1.557
Te 4.136 2.388 3.113
Te 0.000 4.776 3.113
Mo -2.609 4.519 4.670
Te -2.972 5.148 1.557
Mo 2.609 4.519 1.557
Te 0.000 4.776 0.000
Te 4.136 2.388 0.000
Mo 1.527 2.645 4.670
Te 2.972 5.148 4.670
Mo 5.219 0.000 4.670
Mo 3.054 0.000 1.557
Mo 0.000 0.000 3.113
Te 2.328 0.000 4.670
```

ΔE_f (raw)	0.5875	eV per atom
distance to the lowest polymorph of the same formula	0.0	meV/atom
spin magnetization	0.005	μB/cell
symmetry	P6_3/mcm, No. 193

***

[6]
The following is a GGA-PBE calculation of a relaxed structure of Te2Mo, from the Alexandria database. Values from VASP.

Structure (Quantum ESPRESSO input):
```
&SYSTEM
  ibrav = 0, nat = 12, ntyp = 2
/
ATOMIC_SPECIES
Mo 95.94 Mo.upf
Te 127.60 Te.upf
CELL_PARAMETERS angstrom
6.760 0.000 0.000
0.000 6.760 0.000
0.000 0.000 6.760
ATOMIC_POSITIONS angstrom
Mo 3.380 3.380 0.000
Te 2.499 0.881 0.881
Te 0.881 5.879 4.261
Mo 0.000 3.380 3.380
Te 0.881 4.261 0.881
Mo 0.000 0.000 0.000
Te 2.499 2.499 4.261
Te 4.261 4.261 2.499
Te 5.879 2.499 5.879
Te 5.879 0.881 2.499
Mo 3.380 0.000 3.380
Te 4.261 5.879 5.879
```

ΔE_f (raw)	0.0787	eV per atom
spin magnetization	8.055	μB/cell
symmetry	Pa-3, No. 205

***

[7]
The following is a GGA-PBE calculation of a relaxed structure of Te2Mo, from the Alexandria database. Values from VASP.

Structure (Quantum ESPRESSO input):
```
&SYSTEM
  ibrav = 0, nat = 6, ntyp = 2
/
ATOMIC_SPECIES
Te 127.60 Te.upf
Mo 95.94 Mo.upf
CELL_PARAMETERS angstrom
1.728 6.167 0.093
-1.728 6.167 0.093
0.000 4.251 7.547
ATOMIC_POSITIONS angstrom
Te 0.000 6.285 2.411
Te 0.000 3.168 2.783
Mo 0.000 11.972 0.420
Te 0.000 11.415 6.213
Mo 0.000 8.669 0.940
Te 0.000 8.175 6.687
```

ΔE_f (raw)	-0.0893	eV per atom
spin magnetization	0.000	μB/cell
symmetry	Cm, No. 8

***

[8]
The following is a GGA-PBE calculation of a relaxed structure of Te5Mo, from the Alexandria database. Values from VASP.

Structure (Quantum ESPRESSO input):
```
&SYSTEM
  ibrav = 0, nat = 6, ntyp = 2
/
ATOMIC_SPECIES
Te 127.60 Te.upf
Mo 95.94 Mo.upf
CELL_PARAMETERS angstrom
1.657 6.861 -0.290
-1.657 6.861 -0.290
0.000 4.796 7.885
ATOMIC_POSITIONS angstrom
Te 0.000 15.425 2.347
Mo 0.000 13.794 0.033
Te 0.000 10.646 6.306
Te 0.000 5.337 1.853
Te 0.000 9.074 -0.352
Te 0.000 13.287 4.480
```

ΔE_f (raw)	0.0035	eV per atom
distance to the lowest polymorph of the same formula	0.0	meV/atom
spin magnetization	0.000	μB/cell
symmetry	Cm, No. 8

***

[9]
The following is a GGA-PBE calculation of a relaxed structure of TeMo, from the Alexandria database. Values from VASP.

Structure (Quantum ESPRESSO input):
```
&SYSTEM
  ibrav = 0, nat = 4, ntyp = 2
/
ATOMIC_SPECIES
Te 127.60 Te.upf
Mo 95.94 Mo.upf
CELL_PARAMETERS angstrom
-3.222 0.050 -0.541
-0.447 -2.094 2.468
-0.775 6.295 5.200
ATOMIC_POSITIONS angstrom
Te -1.463 3.926 4.147
Te -2.981 0.326 2.981
Mo -3.447 4.114 6.110
Mo -0.997 0.137 1.017
```

ΔE_f (raw)	0.1032	eV per atom
distance to the lowest polymorph of the same formula	117.7	meV/atom
spin magnetization	0.000	μB/cell
symmetry	P4/nmm, No. 129

***

[10]
The following is a GGA-PBE calculation of a relaxed structure of TeMo5, from the Alexandria database. Values from VASP.

Structure (Quantum ESPRESSO input):
```
&SYSTEM
  ibrav = 0, nat = 6, ntyp = 2
/
ATOMIC_SPECIES
Mo 95.94 Mo.upf
Te 127.60 Te.upf
CELL_PARAMETERS angstrom
1.627 -6.847 0.000
1.627 6.847 0.000
0.000 0.000 4.467
ATOMIC_POSITIONS angstrom
Mo 1.627 2.355 2.233
Mo 1.627 4.528 0.000
Te 0.000 0.000 2.233
Mo 1.627 -4.528 0.000
Mo 1.627 0.000 0.000
Mo 1.627 -2.355 2.233
```

ΔE_f (raw)	0.2123	eV per atom
distance to the lowest polymorph of the same formula	46.5	meV/atom
spin magnetization	0.000	μB/cell
symmetry	Cmmm, No. 65

***

[11]
The following is a GGA-PBE calculation of a relaxed structure of TeMo, from the Alexandria database. Values from VASP.

Structure (Quantum ESPRESSO input):
```
&SYSTEM
  ibrav = 0, nat = 4, ntyp = 2
/
ATOMIC_SPECIES
Mo 95.94 Mo.upf
Te 127.60 Te.upf
CELL_PARAMETERS angstrom
3.327 0.000 0.000
-1.663 2.881 0.000
0.000 0.000 8.164
ATOMIC_POSITIONS angstrom
Mo 0.000 1.921 2.041
Te 0.000 0.000 0.000
Te 0.000 0.000 4.082
Mo 1.663 0.960 6.123
```

ΔE_f (raw)	0.4624	eV per atom
distance to the lowest polymorph of the same formula	476.9	meV/atom
spin magnetization	0.000	μB/cell
symmetry	P6_3/mmc, No. 194

***

[12]
The following is a GGA-PBE calculation of a relaxed structure of Te2Mo, from the Alexandria database. Values from VASP.

Structure (Quantum ESPRESSO input):
```
&SYSTEM
  ibrav = 0, nat = 12, ntyp = 2
/
ATOMIC_SPECIES
Te 127.60 Te.upf
Mo 95.94 Mo.upf
CELL_PARAMETERS angstrom
24.213 0.095 0.000
23.576 5.519 0.000
-23.894 -2.807 2.731
ATOMIC_POSITIONS angstrom
Te 36.375 4.273 0.000
Mo 42.592 5.004 0.000
Mo 6.910 -0.563 1.365
Mo 17.303 0.658 1.365
Te 28.072 3.298 0.000
Te 15.965 3.250 1.365
Te 23.521 1.389 1.365
Te 19.717 2.316 0.000
Mo 5.197 0.611 0.000
Te 7.610 2.269 1.365
Te 11.414 1.341 0.000
Te 0.692 -1.293 1.365
```

ΔE_f (raw)	0.3518	eV per atom
spin magnetization	0.000	μB/cell
symmetry	I4_1/amd, No. 141

***

[13]
The following is a GGA-PBE calculation of a relaxed structure of Te2Mo, from the Alexandria database. Values from VASP.

Structure (Quantum ESPRESSO input):
```
&SYSTEM
  ibrav = 0, nat = 3, ntyp = 2
/
ATOMIC_SPECIES
Te 127.60 Te.upf
Mo 95.94 Mo.upf
CELL_PARAMETERS angstrom
4.727 0.000 0.000
0.000 4.727 0.000
0.000 0.000 3.333
ATOMIC_POSITIONS angstrom
Te 2.364 0.000 1.666
Mo 0.000 0.000 0.000
Te 0.000 2.364 1.666
```

ΔE_f (raw)	0.5167	eV per atom
spin magnetization	0.000	μB/cell
symmetry	P4/mmm, No. 123

***

[14]
The following is a GGA-PBE calculation of a relaxed structure of Te5Mo4, from the Alexandria database. Values from VASP.

Structure (Quantum ESPRESSO input):
```
&SYSTEM
  ibrav = 0, nat = 9, ntyp = 2
/
ATOMIC_SPECIES
Te 127.60 Te.upf
Mo 95.94 Mo.upf
CELL_PARAMETERS angstrom
-5.637 5.637 1.628
5.637 -5.637 1.628
5.637 5.637 -1.628
ATOMIC_POSITIONS angstrom
Te 0.000 0.000 0.000
Te 3.746 3.746 0.000
Mo 4.172 0.000 0.000
Mo 7.102 0.000 0.000
Mo 0.000 7.102 0.000
Te 1.891 1.891 1.628
Te 1.891 -1.891 1.628
Te -1.891 1.891 1.628
Mo 0.000 4.172 0.000
```

ΔE_f (raw)	0.6418	eV per atom
distance to the lowest polymorph of the same formula	54.4	meV/atom
spin magnetization	0.000	μB/cell
symmetry	I4/mmm, No. 139

***

[15]
The following is a GGA-PBE calculation of a relaxed structure of Te4Mo, from the Alexandria database. Values from VASP.

Structure (Quantum ESPRESSO input):
```
&SYSTEM
  ibrav = 0, nat = 5, ntyp = 2
/
ATOMIC_SPECIES
Te 127.60 Te.upf
Mo 95.94 Mo.upf
CELL_PARAMETERS angstrom
5.283 0.000 0.000
0.000 5.283 0.000
0.000 0.000 5.283
ATOMIC_POSITIONS angstrom
Te 2.641 2.641 0.000
Mo 2.641 2.641 2.641
Te 0.000 2.641 2.641
Te 2.641 0.000 2.641
Te 0.000 0.000 0.000
```

ΔE_f (raw)	0.4053	eV per atom
distance to the lowest polymorph of the same formula	0.0	meV/atom
spin magnetization	0.000	μB/cell
symmetry	Pm-3m, No. 221

***

[16]
The following is a GGA-PBE calculation of a relaxed structure of TeMo5, from the Alexandria database. Values from VASP.

Structure (Quantum ESPRESSO input):
```
&SYSTEM
  ibrav = 0, nat = 6, ntyp = 2
/
ATOMIC_SPECIES
Te 127.60 Te.upf
Mo 95.94 Mo.upf
CELL_PARAMETERS angstrom
-1.551 3.637 2.882
-2.529 -1.186 -4.018
-2.597 -3.137 2.561
ATOMIC_POSITIONS angstrom
Te -1.299 -1.568 1.280
Mo -3.176 0.461 1.863
Mo -1.028 2.410 1.910
Mo -1.675 -0.786 -2.662
Mo -3.501 -1.147 -0.438
Mo -1.377 0.827 -0.383
```

ΔE_f (raw)	0.3845	eV per atom
distance to the lowest polymorph of the same formula	218.7	meV/atom
spin magnetization	0.000	μB/cell
symmetry	P-62m, No. 189

***

[17]
The following is a GGA-PBE calculation of a relaxed structure of Te5Mo, from the Alexandria database. Values from VASP.

Structure (Quantum ESPRESSO input):
```
&SYSTEM
  ibrav = 0, nat = 6, ntyp = 2
/
ATOMIC_SPECIES
Te 127.60 Te.upf
Mo 95.94 Mo.upf
CELL_PARAMETERS angstrom
-3.017 3.306 -4.925
-1.350 -1.173 6.411
2.560 4.316 1.329
ATOMIC_POSITIONS angstrom
Te -1.580 -0.556 4.850
Mo -2.184 1.067 0.743
Te 1.280 2.158 0.664
Te -0.663 2.577 3.044
Te -1.145 3.871 -0.230
Te -2.788 2.689 -3.364
```

ΔE_f (raw)	0.4911	eV per atom
distance to the lowest polymorph of the same formula	487.6	meV/atom
spin magnetization	2.077	μB/cell
symmetry	Cmmm, No. 65

***

[18]
The following is a GGA-PBE calculation of a relaxed structure of Te2Mo, from the Alexandria database. Values from VASP.

Structure (Quantum ESPRESSO input):
```
&SYSTEM
  ibrav = 0, nat = 6, ntyp = 2
/
ATOMIC_SPECIES
Te 127.60 Te.upf
Mo 95.94 Mo.upf
CELL_PARAMETERS angstrom
1.716 6.809 0.925
-1.716 6.809 0.925
0.000 3.296 7.258
ATOMIC_POSITIONS angstrom
Te 0.000 3.307 5.529
Mo 0.000 11.536 8.122
Te 0.000 10.238 2.885
Mo 0.000 5.379 0.986
Te 0.000 6.676 6.223
Te 0.000 13.607 3.579
```

ΔE_f (raw)	-0.1599	eV per atom
spin magnetization	0.000	μB/cell
symmetry	C2/m, No. 12

***

[19]
The following is a GGA-PBE calculation of a relaxed structure of Te2Mo, from the Alexandria database. Values from VASP.

Structure (Quantum ESPRESSO input):
```
&SYSTEM
  ibrav = 0, nat = 6, ntyp = 2
/
ATOMIC_SPECIES
Te 127.60 Te.upf
Mo 95.94 Mo.upf
CELL_PARAMETERS angstrom
2.509 -4.346 0.000
2.509 4.346 0.000
0.000 0.000 6.256
ATOMIC_POSITIONS angstrom
Te 2.509 1.449 4.692
Te 0.000 0.000 3.128
Mo 2.509 1.449 1.564
Te 2.509 -1.449 1.564
Te 0.000 0.000 0.000
Mo 2.509 -1.449 4.692
```

ΔE_f (raw)	0.6992	eV per atom
spin magnetization	2.869	μB/cell
symmetry	P6_3/mmc, No. 194

***

[20]
The following is a GGA-PBE calculation of a relaxed structure of TeMo, from the Alexandria database. Values from VASP.

Structure (Quantum ESPRESSO input):
```
&SYSTEM
  ibrav = 0, nat = 4, ntyp = 2
/
ATOMIC_SPECIES
Mo 95.94 Mo.upf
Te 127.60 Te.upf
CELL_PARAMETERS angstrom
3.290 0.000 0.000
-1.645 2.849 0.000
0.000 0.000 10.006
ATOMIC_POSITIONS angstrom
Mo 1.645 0.950 2.221
Te 0.000 0.000 4.232
Te 1.645 0.950 8.276
Mo 0.000 0.000 0.280
```

ΔE_f (raw)	0.1167	eV per atom
distance to the lowest polymorph of the same formula	131.1	meV/atom
spin magnetization	0.000	μB/cell
symmetry	P-3m1, No. 164